Tb4Tm5Mg2, optimized geometry, DFT PBE; space group = Immm; density of states at the Fermi level = 1.66 states/eV per atom; total magnetic moment = 0.0 μB per cell; relative energy among the computed polymorphs = 232.3 meV per atom; formation energy from the elements = 247.5 meV per atom
1.0
3.3937 0.0000 0.0000
0.0000 8.7797 0.0000
-1.6969 -4.3898 11.3838
Mg Tm Tb
2 5 4
direct
0.4007 0.4007 0.8014 Mg
0.5993 0.5993 0.1986 Mg
0.1388 0.3343 0.2775 Tm
0.8612 0.6657 0.7225 Tm
0.5000 0.0000 0.0000 Tm
0.1388 0.9433 0.2775 Tm
0.8612 0.0567 0.7225 Tm
0.0000 0.3187 0.0000 Tb
0.7333 0.7333 0.4665 Tb
0.2667 0.2667 0.5335 Tb
0.0000 0.6813 0.0000 Tb